Tl2SnSb: optimized geometry, GGA-PBE.

Lattice parameters (Å, degrees): 5.5023 5.5023 5.5023 60.00 60.00 60.00
With the nearest neighbours (Å) after each atom.
Fractional positions:
Tl  0.2500  0.2500  0.2500  4 Sb 3.37, 4 Sn 3.37
Tl  0.7500  0.7500  0.7500  4 Sb 3.37, 4 Sn 3.37
Sn  0.0000  0.0000  0.0000  8 Tl 3.37
Sb  0.5000  0.5000  0.5000  8 Tl 3.37

Results
Energy above the lowest structure with this stoichiometry = 89.3 meV/atom
SG = Fm-3m (225)
Volume = 118 Å³ per cell
Formation energy (no corrections) = 0.133 eV/atom
Spin magnetization = 0.000 Bohr magnetons per cell
Uncorrected energy = -0.1132 Ha/atom